1.
A geometry-optimized MnVCr6 structure, computed with GGA-PBE.

abc: 5.063 5.063 5.063
angles: 110.60 110.60 110.60
Atoms (fractional coordinates):
Mn1 0.500 0.500 0.500
Cr1 0.261 0.752 0.752
Cr2 0.248 0.248 0.739
Cr3 0.752 0.261 0.752
Cr4 0.752 0.752 0.261
Cr5 0.248 0.739 0.248
Cr6 0.739 0.248 0.248
V1 0.000 0.000 0.000

Summary:
V: 95 Å³/cell
calculated formation energy: 0.20 eV per atom
final energy: -9.3072 eV per atom

=====

2.
A geometry-optimized NaHg3Os structure, computed with GGA-PBE.

abc: 5.274 5.274 5.274
angles: 90.00 90.00 90.00
Each line ends with the local moment (μB).
Atoms (fractional coordinates):
Na1 0.500 0.500 0.500  0.00
Hg1 0.500 0.000 0.000  0.00
Os1 0.000 0.000 0.000  0.16
Hg2 0.000 0.500 0.000  0.00
Hg3 0.000 0.000 0.500  0.00

Summary:
V: 147 Å³/cell
calculated formation energy: 0.43 eV per atom
final energy: -2.2593 eV per atom

=====

3.
A geometry-optimized CdIrOs structure, computed with GGA-PBE.

abc: 2.807 2.807 7.051
angles: 90.00 90.00 120.00
Atoms (fractional coordinates):
Ir1 0.667 0.333 0.352
Cd1 0.000 0.000 0.001
Os1 0.333 0.667 0.647

Summary:
V: 48 Å³/cell
calculated formation energy: 0.29 eV per atom
final energy: -6.7118 eV per atom

=====

> The lowest calculated formation energy belongs to which entry?

MnVCr6

=====

> Which of these has the lowest V?

CdIrOs

=====

> Which formula does entry 2 have?

NaHg3Os

=====

> Among the records above, which one has the highest final energy?

NaHg3Os